Material: DyThGaRh
Method: DFT, GGA-PBE
State: optimized geometry

Cell: 4.2076 3.9066 6.1082 Å, 90.00 110.15 90.00°
Last column: nearest neighbours and their distance in Å.
Atoms (fractional coordinates):
Dy (0.1471, 0.0000, 0.2942)  4 Ga 2.98, 1 Rh 2.99
Th (0.8686, 0.5000, 0.7372)  4 Rh 2.91, 2 Ga 3.18
Ga (0.5769, 0.5000, 0.1537)  2 Rh 2.75, 4 Dy 2.98
Rh (0.4075, 0.0000, 0.8150)  2 Ga 2.75, 4 Th 2.91, 1 Dy 2.99

ρ, g/cm³: 10.0
ΔE_f, eV/f.u.: -3.07
E above lowest polymorph, eV/f.u.: 0.000
SG: Amm2
Crystal system: orthorhombic


Material: DyThGaRh
Method: DFT, GGA-PBE
State: optimized geometry

Cell: 5.0656 5.0656 5.0656 Å, 60.00 60.00 60.00°
Last column: nearest neighbours and their distance in Å.
Atoms (fractional coordinates):
Rh (0.5000, 0.5000, 0.5000)  4 Dy 3.10, 4 Th 3.10
Ga (0.0000, 0.0000, 0.0000)  4 Th 3.10, 4 Dy 3.10
Th (0.7500, 0.7500, 0.7500)  4 Ga 3.10, 4 Rh 3.10
Dy (0.2500, 0.2500, 0.2500)  4 Rh 3.10, 4 Ga 3.10

ρ, g/cm³: 10.2
ΔE_f, eV/f.u.: -2.29
E above lowest polymorph, eV/f.u.: 0.780
SG: F-43m
Crystal system: cubic


Material: DyTiGaRh
Method: DFT, GGA-PBE
State: optimized geometry

Cell: 4.7168 4.7168 4.7168 Å, 60.00 60.00 60.00°
Last column: nearest neighbours and their distance in Å.
Atoms (fractional coordinates):
Ti (0.2500, 0.2500, 0.2500)  4 Rh 2.89, 4 Ga 2.89
Rh (0.5000, 0.5000, 0.5000)  4 Ti 2.89, 4 Dy 2.89
Ga (0.0000, 0.0000, 0.0000)  4 Dy 2.89, 4 Ti 2.89
Dy (0.7500, 0.7500, 0.7500)  4 Rh 2.89, 4 Ga 2.89

ρ, g/cm³: 8.6
ΔE_f, eV/f.u.: -1.87
SG: F-43m
Crystal system: cubic